[1]
Crystalline ZrBe2Ni at its relaxed geometry. Source: the Alexandria database, functional PBE.

Values from the calculation:
- Symmetry: No. 141
- Spin magnetization: 0.00 μB per cell
- Calculated density: 4.921 g/cm³
- Uncorrected energy: -5.34 eV/atom

Unit cell a=3.946 b=3.946 c=14.559 alpha=90.00 beta=90.00 gamma=90.00
Sites, in units of the cell vectors:
Zr1 0.000 0.250 0.375
Zr2 0.000 0.750 0.625
Zr3 0.500 0.250 0.125
Zr4 0.500 0.750 0.875
Be1 0.000 0.000 0.000
Be2 0.000 0.500 0.000
Be3 0.250 0.250 0.750
Be4 0.250 0.750 0.250
Be5 0.500 0.000 0.500
Be6 0.500 0.500 0.500
Be7 0.750 0.250 0.750
Be8 0.750 0.750 0.250
Ni1 0.000 0.250 0.875
Ni2 0.000 0.750 0.125
Ni3 0.500 0.250 0.625
Ni4 0.500 0.750 0.375

[2]
Crystalline ZrBe3Ni at its relaxed geometry. Source: the Alexandria database, functional PBE.

Values from the calculation:
- Symmetry: No. 221
- Spin magnetization: 0.00 μB per cell
- Calculated density: 3.157 g/cm³
- Uncorrected energy: -3.08 eV/atom
- Polymorph energy (0 for the lowest one): 2.108 eV per atom

Unit cell a=4.532 b=4.532 c=4.532 alpha=90.00 beta=90.00 gamma=90.00
Sites, in units of the cell vectors:
Zr1 0.000 0.000 0.000
Be1 0.000 0.000 0.500
Be2 0.000 0.500 0.000
Be3 0.500 0.000 0.000
Ni1 0.500 0.500 0.500

[3]
Crystalline ZrBe3Ni10 at its relaxed geometry. Source: the Alexandria database, functional PBE.

Values from the calculation:
- Symmetry: No. 225
- Spin magnetization: 2.27 μB per cell
- Calculated density: 7.436 g/cm³
- Uncorrected energy: -5.72 eV/atom

Unit cell a=7.637 b=7.637 c=7.637 alpha=60.00 beta=60.00 gamma=60.00
Sites, in units of the cell vectors:
Zr1 0.250 0.250 0.250
Zr2 0.750 0.750 0.750
Be1 0.229 0.229 0.771
Be2 0.229 0.771 0.229
Be3 0.229 0.771 0.771
Be4 0.771 0.229 0.229
Be5 0.771 0.229 0.771
Be6 0.771 0.771 0.229
Ni1 0.117 0.117 0.117
Ni2 0.117 0.117 0.650
Ni3 0.117 0.650 0.117
Ni4 0.158 0.500 0.500
Ni5 0.158 0.500 0.842
Ni6 0.158 0.842 0.500
Ni7 0.350 0.883 0.883
Ni8 0.500 0.158 0.500
Ni9 0.500 0.158 0.842
Ni10 0.500 0.500 0.158
Ni11 0.500 0.500 0.842
Ni12 0.500 0.842 0.158
Ni13 0.500 0.842 0.500
Ni14 0.650 0.117 0.117
Ni15 0.842 0.158 0.500
Ni16 0.842 0.500 0.158
Ni17 0.842 0.500 0.500
Ni18 0.883 0.350 0.883
Ni19 0.883 0.883 0.350
Ni20 0.883 0.883 0.883

Result set for formation energy from the elements: 0.1047, 2.0232, -0.1806 eV/atom, one per record in the order listed.